Computed, not measured: a relaxed structure of ZnH4Rh2 at the GGA-PBE level of DFT.

## Properties
Density of states at the Fermi level in states/eV/f.u.: 0.91
Total magnetic moment in μB/atom: 0.00
Density in g/cm3: 7.73
Energy above the most stable polymorph in this dataset in meV per atom: 35

CIF file:
```
data_ZnH4Rh2
_chemical_formula_sum 'Zn2 H8 Rh4'
_symmetry_space_group_name_H-M 'P 1'
_symmetry_Int_Tables_number 1
_symmetry_space_group_name_Hall 'P 1'
_cell_length_a 5.724
_cell_length_b 5.720
_cell_length_c 5.190
_cell_angle_alpha 63.07
_cell_angle_beta 62.99
_cell_angle_gamma 53.95
loop_
_atom_site_label
_atom_site_fract_x
_atom_site_fract_y
_atom_site_fract_z
_atom_site_occupancy
Zn1 0.000 0.000 0.000 1
Zn2 0.250 0.250 0.250 1
H1 0.342 0.825 0.379 1
H2 0.378 0.456 0.826 1
H3 0.424 0.910 0.872 1
H4 0.456 0.378 0.340 1
H5 0.796 0.871 0.425 1
H6 0.825 0.342 0.454 1
H7 0.871 0.796 0.908 1
H8 0.910 0.424 0.794 1
Rh1 0.126 0.624 0.547 1
Rh2 0.546 0.703 0.626 1
Rh3 0.624 0.126 0.704 1
Rh4 0.703 0.546 0.124 1
```



Computed, not measured: a relaxed structure of K2NaTl6 at the GGA-PBE level of DFT.

## Properties
Density of states at the Fermi level in states/eV/f.u.: 4.06
E_form in meV per atom: -75
Total magnetic moment in μB/atom: 0.00
Density in g/cm3: 7.07
Energy above the most stable polymorph in this dataset in meV per atom: 0

CIF file:
```
data_K2NaTl6
_chemical_formula_sum 'K2 Na1 Tl6'
_symmetry_space_group_name_H-M 'P 1'
_symmetry_Int_Tables_number 1
_symmetry_space_group_name_Hall 'P 1'
_cell_length_a 7.215
_cell_length_b 7.215
_cell_length_c 7.485
_cell_angle_alpha 95.83
_cell_angle_beta 95.83
_cell_angle_gamma 53.63
loop_
_atom_site_label
_atom_site_fract_x
_atom_site_fract_y
_atom_site_fract_z
_atom_site_occupancy
K1 0.163 0.163 0.143 1
K2 0.837 0.837 0.857 1
Na1 0.500 0.500 0.000 1
Tl1 0.166 0.673 0.325 1
Tl2 0.308 0.308 0.633 1
Tl3 0.327 0.834 0.675 1
Tl4 0.673 0.166 0.325 1
Tl5 0.692 0.692 0.367 1
Tl6 0.834 0.327 0.675 1
```